Record 1
# Ho2Mo3Os

Ho2Mo3Os after structural relaxation (PBE-GGA, the Alexandria database).

Geometry as CIF:
```
data_Ho2Mo3Os
_chemical_formula_sum 'Ho4 Mo6 Os2'
_cell_length_a 9.451
_cell_length_b 5.445
_cell_length_c 5.486
_cell_angle_alpha 90.00
_cell_angle_beta 125.11
_cell_angle_gamma 90.00
_space_group_name_H-M_alt 'C 1 2/m 1'
_space_group_IT_number 12
_space_group_name_Hall '-C 2y'
loop_
_atom_site_label
_atom_site_fract_x
_atom_site_fract_y
_atom_site_fract_z
Ho1 0.126 0.000 0.379
Mo1 0.000 0.500 0.000
Mo2 0.250 0.250 0.000
Os1 0.000 0.500 0.500
```

Properties
DOS at the Fermi energy	0.82	states/eV/atom
calculated formation energy	-0.49	eV/f.u.



Record 2
# HoMoOs

HoMoOs after structural relaxation (PBE-GGA, the Alexandria database).

Geometry as CIF:
```
data_HoMoOs
_chemical_formula_sum 'Ho4 Mo4 Os4'
_cell_length_a 5.334
_cell_length_b 5.689
_cell_length_c 7.429
_cell_angle_alpha 90.00
_cell_angle_beta 90.00
_cell_angle_gamma 90.00
_space_group_name_H-M_alt 'I m m a'
_space_group_IT_number 74
_space_group_name_Hall '-I 2b 2'
loop_
_atom_site_label
_atom_site_fract_x
_atom_site_fract_y
_atom_site_fract_z
Ho1 0.000 0.250 0.130
Mo1 0.250 0.250 0.750
Os1 0.000 0.000 0.500
```

Properties
DOS at the Fermi energy	0.88	states/eV/atom
calculated formation energy	-0.59	eV/f.u.
energy above the most stable polymorph in this dataset	0.000	eV per atom



Copy entry 2 word for word.
# HoMoOs

HoMoOs after structural relaxation (PBE-GGA, the Alexandria database).

Geometry as CIF:
```
data_HoMoOs
_chemical_formula_sum 'Ho4 Mo4 Os4'
_cell_length_a 5.334
_cell_length_b 5.689
_cell_length_c 7.429
_cell_angle_alpha 90.00
_cell_angle_beta 90.00
_cell_angle_gamma 90.00
_space_group_name_H-M_alt 'I m m a'
_space_group_IT_number 74
_space_group_name_Hall '-I 2b 2'
loop_
_atom_site_label
_atom_site_fract_x
_atom_site_fract_y
_atom_site_fract_z
Ho1 0.000 0.250 0.130
Mo1 0.250 0.250 0.750
Os1 0.000 0.000 0.500
```

Properties
DOS at the Fermi energy	0.88	states/eV/atom
calculated formation energy	-0.59	eV/f.u.
energy above the most stable polymorph in this dataset	0.000	eV per atom